Sm3Al5S12 | PBE | relaxed

Cell and atoms, written as POSCAR:
```
Sm3Al5S12
1.0
13.028 0.000 0.000
-4.343 12.283 0.000
-4.343 -6.141 10.637
Sm Al S
12 20 48
direct
0.750 0.375 0.125
0.875 0.750 0.125
0.375 0.750 0.625
0.250 0.125 0.375
0.875 0.125 0.250
0.375 0.625 0.250
0.625 0.375 0.750
0.125 0.875 0.750
0.750 0.875 0.625
0.625 0.250 0.375
0.125 0.250 0.875
0.250 0.625 0.875
0.125 0.375 0.250
0.000 0.500 0.000
0.000 0.000 0.000
0.375 0.250 0.125
0.500 0.000 0.500
0.500 0.500 0.000
0.125 0.750 0.375
0.750 0.125 0.875
0.750 0.625 0.375
0.375 0.125 0.750
0.625 0.875 0.250
0.500 0.500 0.500
0.500 0.000 0.000
0.000 0.000 0.500
0.250 0.375 0.625
0.250 0.875 0.125
0.000 0.500 0.500
0.875 0.250 0.625
0.625 0.750 0.875
0.875 0.625 0.750
0.705 0.119 0.027
0.322 0.527 0.408
0.973 0.381 0.295
0.527 0.205 0.119
0.585 0.705 0.678
0.973 0.592 0.178
0.322 0.795 0.415
0.092 0.915 0.119
0.592 0.973 0.678
0.705 0.585 0.178
0.795 0.473 0.381
0.822 0.908 0.027
0.119 0.705 0.527
0.381 0.408 0.085
0.085 0.908 0.381
0.415 0.119 0.592
0.085 0.178 0.205
0.473 0.678 0.092
0.822 0.915 0.295
0.119 0.415 0.092
0.381 0.973 0.795
0.592 0.619 0.415
0.908 0.822 0.527
0.795 0.322 0.915
0.408 0.381 0.585
0.092 0.178 0.473
0.205 0.678 0.085
0.178 0.085 0.705
0.619 0.027 0.205
0.881 0.585 0.908
0.527 0.322 0.908
0.585 0.881 0.408
0.915 0.822 0.795
0.915 0.092 0.619
0.881 0.295 0.473
0.178 0.092 0.973
0.619 0.592 0.915
0.408 0.027 0.322
0.295 0.415 0.822
0.205 0.527 0.619
0.908 0.085 0.881
0.678 0.205 0.585
0.473 0.795 0.881
0.027 0.408 0.822
0.415 0.295 0.322
0.027 0.619 0.705
0.678 0.473 0.592
0.295 0.881 0.973
```

Magnetic moment   0.000 μB/atom
ΔE_f (raw)   -33.70 kcal/mol of atoms
Symmetry   No. 230